Material: Sr2BeAs2
Method: DFT, PBEsol
State: relaxed

abc: 7.1370 7.1370 4.5886
angles: 90.00 90.00 90.00
With the nearest neighbours (Å) after each atom.
Space group P4/mbm (No. 127)
Asymmetric unit:
Sr 0.1776 0.3224 0.0000 (multiplicity 4)  6 As 3.02-3.18
Be 0.0000 0.0000 0.5000 (multiplicity 2)  4 As 2.81
As 0.1274 0.6274 0.5000 (multiplicity 4)  1 As 2.57, 2 Be 2.81

Uncorrected energy, eV per atom: -4.0494
Energy relative to the elements, eV per atom: -0.471

=====

Material: SrCaRu2
Method: DFT, PBEsol
State: relaxed

abc: 4.4365 5.0278 8.7324
angles: 90.00 90.00 90.00
With the nearest neighbours (Å) after each atom.
Space group Cmm2 (No. 35)
Asymmetric unit:
Sr 0.0000 0.0000 0.0000 (multiplicity 2)  5 Ru 3.14-3.36, 4 Sr 3.35
Ca 0.0000 0.5000 0.5945 (multiplicity 2)  5 Ru 2.96-3.25
Ru 0.0000 0.0000 0.3590 (multiplicity 2)  4 Ru 2.39-2.67
Ru 0.0000 0.5000 0.2558 (multiplicity 2)  4 Ru 2.39-2.67

Uncorrected energy, eV per atom: -5.6954
Energy relative to the elements, eV per atom: 0.384
E above lowest polymorph, meV per atom: 0

=====

Material: FeWO4
Method: DFT, PBEsol
State: relaxed

abc: 4.6401 5.6518 4.9288
angles: 90.00 90.36 90.00
With the nearest neighbours (Å) after each atom.
Space group P2/c (No. 13)
Asymmetric unit:
Fe 0.0000 0.1516 0.2500 (multiplicity 2)  6 O 2.04-2.06
W 0.5000 0.3279 0.7500 (multiplicity 2)  4 O 1.83-1.93
O 0.2404 0.1254 0.9022 (multiplicity 4)  1 W 1.83
O 0.2777 0.3874 0.4246 (multiplicity 4)  2 W 1.93-2.10, 1 Fe 2.04

Uncorrected energy, eV per atom: -9.0473
Formation energy without anion corrections, meV per atom: -1753

=====

Material: BeOsSeN2
Method: DFT, PBEsol
State: relaxed

abc: 3.5181 3.5181 4.4919
angles: 90.00 90.00 90.00
With the nearest neighbours (Å) after each atom.
Space group P4/mmm (No. 123)
Asymmetric unit:
Be 0.0000 0.0000 0.0000 (multiplicity 1)  4 N 1.76
Os 0.5000 0.5000 0.5000 (multiplicity 1)  4 Se 2.49
Se 0.0000 0.0000 0.5000 (multiplicity 1)  2 Be 2.25, 4 Os 2.49
N 0.0000 0.5000 0.0000 (multiplicity 2)  2 Be 1.76

Uncorrected energy, eV per atom: -5.8805
Formation energy without anion corrections, meV per atom: 1543

=====

Material: SrZr2Rh
Method: DFT, PBEsol
State: relaxed

abc: 4.0914 4.0914 10.3906
angles: 90.00 90.00 90.00
With the nearest neighbours (Å) after each atom.
Space group I4/mmm (No. 139)
Asymmetric unit:
Sr 0.0000 0.0000 0.0000 (multiplicity 2)  4 Rh 2.89
Zr 0.0000 0.5000 0.2500 (multiplicity 4)  4 Zr 2.89
Rh 0.0000 0.0000 0.5000 (multiplicity 2)  4 Sr 2.89

Uncorrected energy, eV per atom: -6.7384
Energy relative to the elements, eV per atom: 0.301
E above lowest polymorph, meV per atom: 455

=====

Material: Li2Fe3CoO8
Method: DFT, PBEsol
State: relaxed

abc: 5.5040 5.5040 9.1427
angles: 90.00 90.00 120.00
With the nearest neighbours (Å) after each atom.
Space group P6_3mc (No. 186)
Asymmetric unit:
Li 0.0000 0.0000 0.0000 (multiplicity 2)  4 O 1.74-1.87
Li 0.3333 0.6667 0.1043 (multiplicity 2)  4 O 1.84-1.86
Fe 0.1754 0.3508 0.7840 (multiplicity 6)  6 O 1.85-1.91
Co 0.3333 0.6667 0.5080 (multiplicity 2)  6 O 1.91-1.92
O 0.0000 0.0000 0.1905 (multiplicity 2)  1 Li 1.74, 3 Fe 1.88
O 0.0411 0.5206 0.6522 (multiplicity 6)  1 Li 1.84, 2 Fe 1.89, 1 Co 1.92
O 0.1672 0.3344 0.3921 (multiplicity 6)  1 Li 1.87, 1 Co 1.91, 2 Fe 1.91
O 0.3333 0.6667 0.9010 (multiplicity 2)  3 Fe 1.85, 1 Li 1.86

Uncorrected energy, eV per atom: -7.1971
Formation energy without anion corrections, meV per atom: -1443
E above lowest polymorph, meV per atom: 38